Record 1
The following is a PBE calculation of a relaxed KMgCl2 crystal, from Alexandria via LeMat-Bulk.

a b c (Å): 6.6011 6.6011 8.2188
angles (deg): 66.32 66.32 90.00
Positions (direct):
K 0.0000 0.0000 0.0000
K 0.7500 0.2500 0.5000
Mg 0.5000 0.5000 0.0000
Mg 0.2500 0.7500 0.5000
Cl 0.5512 0.1250 0.2500
Cl 0.1988 0.6250 0.2500
Cl 0.3750 0.4488 0.7500
Cl 0.8750 0.8012 0.7500

Summary:
- Formation energy without anion corrections: -1.29 eV per atom
- Energy relative to the lowest polymorph listed for this composition: 34 kJ/mol of formula units
- Space group: No. 122

Record 2
The following is a PBE calculation of a relaxed K4MgCl crystal, from Alexandria via LeMat-Bulk.

a b c (Å): 7.8447 7.8447 7.8447
angles (deg): 60.00 60.00 60.00
Positions (direct):
K 0.8766 0.3745 0.3745
K 0.3745 0.3745 0.8766
K 0.3745 0.8766 0.3745
K 0.3745 0.3745 0.3745
Mg 0.7500 0.7500 0.7500
Cl 0.0000 0.0000 0.0000

Summary:
- Formation energy without anion corrections: -0.08 eV per atom
- Space group: No. 216

Record 3
The following is a PBE calculation of a relaxed K2MgCl5 crystal, from Alexandria via LeMat-Bulk.

a b c (Å): 5.5568 8.1963 13.5812
angles (deg): 90.00 90.00 109.81
Each line ends with the local moment (μB).
Positions (direct):
K 0.8447 0.6894 0.4198  0.00
K 0.8447 0.6894 0.0802  0.00
K 0.1553 0.3106 0.5802  0.00
K 0.1553 0.3106 0.9198  0.00
Mg 0.8123 0.6247 0.7500  0.00
Mg 0.1877 0.3753 0.2500  0.00
Cl 0.9561 0.9122 0.8467  0.38
Cl 0.9561 0.9122 0.6533  0.38
Cl 0.2771 0.5542 0.3940  0.01
Cl 0.2771 0.5542 0.1060  0.01
Cl 0.7002 0.4004 0.2500  0.06
Cl 0.2998 0.5996 0.7500  0.06
Cl 0.7229 0.4458 0.6060  0.01
Cl 0.7229 0.4458 0.8940  0.01
Cl 0.0439 0.0878 0.1533  0.38
Cl 0.0439 0.0878 0.3467  0.38

Summary:
- Formation energy without anion corrections: -1.54 eV per atom
- Space group: No. 63

Record 4
The following is a PBE calculation of a relaxed K4MgCl6 crystal, from Alexandria via LeMat-Bulk.

a b c (Å): 8.6268 8.6268 8.6268
angles (deg): 90.38 90.38 89.62
Positions (direct):
K 0.3768 0.1232 0.2500
K 0.8768 0.2500 0.3768
K 0.2500 0.6232 0.1232
K 0.2500 0.2500 0.7500
K 0.7500 0.7500 0.2500
K 0.7500 0.3768 0.8768
K 0.1232 0.7500 0.6232
K 0.6232 0.8768 0.7500
Mg 0.5000 0.5000 0.5000
Mg 0.0000 0.0000 0.0000
Cl 0.7171 0.0565 0.0678
Cl 0.0678 0.2829 0.0565
Cl 0.5678 0.4435 0.2171
Cl 0.9435 0.0678 0.7171
Cl 0.5565 0.2171 0.5678
Cl 0.2171 0.4322 0.4435
Cl 0.7829 0.5678 0.5565
Cl 0.4435 0.7829 0.4322
Cl 0.0565 0.9322 0.2829
Cl 0.4322 0.5565 0.7829
Cl 0.9322 0.7171 0.9435
Cl 0.2829 0.9435 0.9322

Summary:
- Formation energy without anion corrections: -1.94 eV per atom
- Space group: No. 167

Record 5
The following is a PBE calculation of a relaxed K2MgCl crystal, from Alexandria via LeMat-Bulk.

a b c (Å): 9.1490 9.1490 7.8441
angles (deg): 54.33 54.33 90.00
Positions (direct):
K 0.6972 0.1250 0.2500
K 0.0528 0.6250 0.2500
K 0.3750 0.3028 0.7500
K 0.8750 0.9472 0.7500
Mg 0.5000 0.5000 0.0000
Mg 0.2500 0.7500 0.5000
Cl 0.0000 0.0000 0.0000
Cl 0.7500 0.2500 0.5000

Summary:
- Formation energy without anion corrections: -0.64 eV per atom
- Energy relative to the lowest polymorph listed for this composition: 55 kJ/mol of formula units
- Space group: No. 122

Record 6
The following is a PBE calculation of a relaxed K12Mg3Cl5 crystal, from Alexandria via LeMat-Bulk.

a b c (Å): 17.3871 17.3871 17.3871
angles (deg): 109.47 109.47 109.47
Positions (direct):
Mg 0.7500 0.3750 0.1250
Mg 0.8750 0.7500 0.1250
Mg 0.3750 0.7500 0.6250
Mg 0.2500 0.1250 0.3750
Mg 0.8750 0.1250 0.2500
Mg 0.3750 0.6250 0.2500
Mg 0.6250 0.3750 0.7500
Mg 0.1250 0.8750 0.7500
Mg 0.7500 0.8750 0.6250
Mg 0.6250 0.2500 0.3750
Mg 0.1250 0.2500 0.8750
Mg 0.2500 0.6250 0.8750
Cl 0.1250 0.3750 0.2500
Cl 0.0000 0.5000 0.0000
Cl 0.0000 0.0000 0.0000
Cl 0.3750 0.2500 0.1250
Cl 0.5000 0.0000 0.5000
Cl 0.5000 0.5000 0.0000
Cl 0.1250 0.7500 0.3750
Cl 0.7500 0.1250 0.8750
Cl 0.7500 0.6250 0.3750
Cl 0.3750 0.1250 0.7500
Cl 0.6250 0.8750 0.2500
Cl 0.5000 0.5000 0.5000
Cl 0.5000 0.0000 0.0000
Cl 0.0000 0.0000 0.5000
Cl 0.2500 0.3750 0.6250
Cl 0.2500 0.8750 0.1250
Cl 0.0000 0.5000 0.5000
Cl 0.8750 0.2500 0.6250
Cl 0.6250 0.7500 0.8750
Cl 0.8750 0.6250 0.7500
K 0.7048 0.1195 0.0275
K 0.3227 0.5275 0.4080
K 0.9725 0.3805 0.2952
K 0.5275 0.2048 0.1195
K 0.5853 0.7048 0.6773
K 0.9725 0.5920 0.1773
K 0.3227 0.7952 0.4147
K 0.0920 0.9147 0.1195
K 0.5920 0.9725 0.6773
K 0.7048 0.5853 0.1773
K 0.7952 0.4725 0.3805
K 0.8227 0.9080 0.0275
K 0.1195 0.7048 0.5275
K 0.3805 0.4080 0.0853
K 0.0853 0.9080 0.3805
K 0.4147 0.1195 0.5920
K 0.0853 0.1773 0.2048
K 0.4725 0.6773 0.0920
K 0.8227 0.9147 0.2952
K 0.1195 0.4147 0.0920
K 0.3805 0.9725 0.7952
K 0.5920 0.6195 0.4147
K 0.9080 0.8227 0.5275
K 0.7952 0.3227 0.9147
K 0.4080 0.3805 0.5853
K 0.0920 0.1773 0.4725
K 0.2048 0.6773 0.0853
K 0.1773 0.0853 0.7048
K 0.6195 0.0275 0.2048
K 0.8805 0.5853 0.9080
K 0.5275 0.3227 0.9080
K 0.5853 0.8805 0.4080
K 0.9147 0.8227 0.7952
K 0.9147 0.0920 0.6195
K 0.8805 0.2952 0.4725
K 0.1773 0.0920 0.9725
K 0.6195 0.5920 0.9147
K 0.4080 0.0275 0.3227
K 0.2952 0.4147 0.8227
K 0.2048 0.5275 0.6195
K 0.9080 0.0853 0.8805
K 0.6773 0.2048 0.5853
K 0.4725 0.7952 0.8805
K 0.0275 0.4080 0.8227
K 0.4147 0.2952 0.3227
K 0.0275 0.6195 0.7048
K 0.6773 0.4725 0.5920
K 0.2952 0.8805 0.9725

Summary:
- Formation energy without anion corrections: -0.77 eV per atom
- Space group: No. 230